Here is a relaxed NaGa2Bi crystal from Alexandria. Energies are from GGA-PBE.

a = 4.4555 Å, b = 4.4555 Å, c = 11.0463 Å
α = 90.00°, β = 90.00°, γ = 90.00°
With the nearest neighbours (Å) after each atom.
Positions (direct):
Na 0.5000 0.0000 0.2282  1 Ga 3.03, 4 Bi 3.29
Na 0.0000 0.5000 0.7718  1 Ga 3.03, 4 Bi 3.29
Ga 0.5000 0.0000 0.9541  1 Bi 2.95, 1 Na 3.03
Ga 0.0000 0.5000 0.0459  1 Bi 2.95, 1 Na 3.03
Ga 0.0000 0.0000 0.5000  4 Bi 3.04, 4 Ga 3.15
Ga 0.5000 0.5000 0.5000  4 Bi 3.04, 4 Ga 3.15
Bi 0.5000 0.0000 0.6875  5 Ga 2.95-3.04, 4 Na 3.29
Bi 0.0000 0.5000 0.3125  5 Ga 2.95-3.04, 4 Na 3.29

Values from the calculation:
V in Å³/cell: 219
E in eV per cell: -22.221